Record 1
This record from Alexandria describes LiTc2SBr after structural relaxation. The functional is PBE.

Output
E_tot: -4.50 eV per atom
D(E_F): 4.68 states/eV/f.u.
Mass density: 5278 kg/m³

```
5
Lattice="4.718 0.000 0.000 0.000 4.718 0.000 0.000 0.000 4.451" Properties=species:S:1:pos:R:3 pbc="T T T"
Li 0.000 0.000 0.000
Tc 0.000 2.359 2.225
Tc 2.359 0.000 2.225
S 2.359 2.359 0.000
Br 0.000 0.000 2.225
```



Record 2
This record from Alexandria describes Tl3SnAs after structural relaxation. The functional is PBE.

Output
Excess energy over the best structure of this formula in the dataset: 0.00 eV per formula unit
Formation energy: 0.0109 eV/atom
D(E_F): 1.82 states/eV/f.u.
Mass density: 8831 kg/m³

```
20
Lattice="9.243 0.000 0.000 0.000 7.341 0.000 -2.407 0.000 8.943" Properties=species:S:1:pos:R:3 pbc="T T T"
Tl -0.349 1.560 3.473
Tl -1.552 2.111 7.944
Tl 2.234 0.048 1.429
Tl 1.031 3.622 5.900
Tl 0.980 0.100 6.541
Tl 2.184 3.571 2.069
Tl 4.652 3.770 6.873
Tl 5.856 7.242 2.402
Tl 5.805 3.719 3.043
Tl 4.602 7.293 7.514
Tl 8.388 5.230 0.998
Tl 7.184 5.782 5.470
Sn 2.020 5.187 8.868
Sn 3.224 5.824 4.396
Sn 3.612 1.517 4.547
Sn 4.815 2.154 0.075
As -0.626 5.147 8.192
As 0.578 5.864 3.721
As 6.258 1.477 5.222
As 7.462 2.194 0.751
```



Record 3
This record from Alexandria describes Pm2GaNi2 after structural relaxation. The functional is PBE.

Output
Excess energy over the best structure of this formula in the dataset: 0.00 eV per formula unit
Formation energy: -0.4945 eV/atom
D(E_F): 3.54 states/eV/f.u.
Mass density: 8031 kg/m³

```
10
Lattice="4.742 -2.741 0.000 4.742 2.741 0.000 -1.959 0.000 7.588" Properties=species:S:1:pos:R:3 pbc="T T T"
Pm 1.668 1.925 6.464
Pm 4.878 1.925 4.918
Pm 2.648 -1.925 2.670
Pm 5.857 -1.925 1.124
Ga 4.253 0.791 1.897
Ga 3.273 -0.791 5.691
Ni 2.480 0.761 3.778
Ni 6.026 0.761 0.016
Ni 1.500 -0.761 7.572
Ni 5.046 -0.761 3.810
```



Record 4
This record from Alexandria describes CsAlP after structural relaxation. The functional is PBE.

Output
Formation energy: -0.3902 eV/atom
Mass density: 3449 kg/m³

```
6
Lattice="4.026 0.000 0.000 -2.008 5.339 0.000 -0.002 -1.527 8.549" Properties=species:S:1:pos:R:3 pbc="T T T"
Cs 0.000 0.000 0.000
Cs 0.014 2.832 2.558
Al -0.001 1.616 6.093
Al 2.010 -0.880 5.559
P -0.003 -0.139 4.331
P 2.012 0.818 7.312
```



Record 5
This record from Alexandria describes PAuS after structural relaxation. The functional is PBE.

Output
E_tot: -4.32 eV per atom
Mass density: 6372 kg/m³

```
24
Lattice="5.656 0.000 0.000 0.000 5.696 0.000 0.000 0.000 16.826" Properties=species:S:1:pos:R:3 pbc="T T T"
P 0.568 0.413 2.938
P 0.568 2.435 11.351
P 2.260 3.261 2.938
P 2.260 5.283 11.351
P 3.396 0.413 5.476
P 3.396 2.435 13.889
P 5.088 3.261 5.476
P 5.088 5.283 13.889
Au 0.037 3.868 2.254
Au 0.037 4.676 10.667
Au 2.791 1.020 2.254
Au 2.791 1.828 10.667
Au 2.865 3.868 6.159
Au 2.865 4.676 14.572
Au 5.619 1.020 6.159
Au 5.619 1.828 14.572
S 0.555 4.110 15.275
S 0.555 4.434 6.862
S 2.273 1.262 15.275
S 2.273 1.586 6.862
S 3.382 4.110 9.965
S 3.382 4.434 1.551
S 5.101 1.262 9.965
S 5.101 1.586 1.551
```



Record 6
This record from Alexandria describes Li3PrPt2 after structural relaxation. The functional is PBE.

Output
Formation energy: -0.6500 eV/atom
D(E_F): 1.77 states/eV/f.u.
Mass density: 8433 kg/m³

```
12
Lattice="6.990 -2.104 0.000 6.990 2.104 0.000 -3.852 0.000 7.390" Properties=species:S:1:pos:R:3 pbc="T T T"
Li -0.672 0.000 2.897
Li 2.217 0.000 3.472
Li 4.590 0.000 2.339
Li 5.538 0.000 5.051
Li 7.911 0.000 3.918
Li 10.800 0.000 4.494
Pr 1.827 0.000 0.180
Pr 8.301 0.000 7.210
Pt 0.122 0.000 5.402
Pt 3.100 0.000 5.985
Pt 7.028 0.000 1.406
Pt 10.006 0.000 1.988
```



Record 7
This record from Alexandria describes NbGe2BAs after structural relaxation. The functional is PBE.

Output
Formation energy: 1.2420 eV/atom
D(E_F): 5.03 states/eV/f.u.
Mass density: 4297 kg/m³

```
5
Lattice="5.040 0.000 0.000 0.000 5.040 0.000 0.000 0.000 4.927" Properties=species:S:1:pos:R:3 pbc="T T T"
Nb 0.000 0.000 0.000
Ge 0.000 2.520 0.000
Ge 2.520 0.000 0.000
B 2.520 2.520 2.464
As 0.000 0.000 2.464
```



Record 8
This record from Alexandria describes Tl2Bi2SbO6 after structural relaxation. The functional is PBE.

Output
E_tot: -5.22 eV per atom
D(E_F): 2.90 states/eV/f.u.
Mass density: 7981 kg/m³

```
11
Lattice="3.156 -5.108 0.000 3.156 5.108 0.000 -1.778 0.000 6.740" Properties=species:S:1:pos:R:3 pbc="T T T"
Tl 3.156 3.404 0.000
Tl 3.156 -3.404 0.000
Bi 2.267 1.692 3.370
Bi 2.267 -1.692 3.370
Sb -0.889 0.000 3.370
O 0.026 1.526 4.411
O 0.703 0.000 2.133
O 0.026 -1.526 4.411
O 4.509 1.526 2.329
O 3.831 0.000 4.607
O 4.509 -1.526 2.329
```



Record 9
This record from Alexandria describes Ho3P2Rh5Au2 after structural relaxation. The functional is PBE.

Output
Formation energy: -0.9618 eV/atom
D(E_F): 5.27 states/eV/f.u.
Mass density: 11473 kg/m³

```
12
Lattice="-2.006 2.006 13.171 2.006 -2.006 13.171 2.006 2.006 -13.171" Properties=species:S:1:pos:R:3 pbc="T T T"
Ho 0.000 0.000 0.000
Ho 0.000 0.000 4.294
Ho 0.000 0.000 22.048
P 0.000 0.000 9.870
P 0.000 0.000 16.472
Rh 2.006 0.000 2.144
Rh 2.006 0.000 11.027
Rh 0.000 0.000 13.171
Rh 0.000 2.006 2.144
Rh 0.000 2.006 11.027
Au 0.000 0.000 7.277
Au 0.000 0.000 19.065
```



Record 10
This record from Alexandria describes Ca2DyThBi4 after structural relaxation. The functional is PBE.

Output
Formation energy: -0.7408 eV/atom
D(E_F): 5.03 states/eV/f.u.
Mass density: 7952 kg/m³

```
8
Lattice="7.914 0.000 0.000 0.000 4.589 0.000 -2.659 0.000 7.536" Properties=species:S:1:pos:R:3 pbc="T T T"
Ca 0.000 0.000 0.000
Ca 3.957 2.295 0.000
Dy -1.330 2.295 3.768
Th 2.627 0.000 3.768
Bi -0.049 0.000 5.589
Bi 1.280 2.295 1.921
Bi 3.975 2.295 5.615
Bi 5.304 0.000 1.948
```



Which of these has the lowest mass density? CsAlP